A plane-wave DFT calculation with PBE was carried out for K2Np2TaSe6 after structural relaxation.

The structure in CIF format:
```
data_K2Np2TaSe6
_chemical_formula_sum 'K4 Np4 Ta2 Se12'
_cell_length_a 6.979
_cell_length_b 11.961
_cell_length_c 8.290
_cell_angle_alpha 90.00
_cell_angle_beta 106.86
_cell_angle_gamma 90.00
_space_group_name_H-M_alt 'C 1 2/m 1'
_space_group_IT_number 12
_space_group_name_Hall '-C 2y'
loop_
_atom_site_label
_atom_site_fract_x
_atom_site_fract_y
_atom_site_fract_z
_atom_site_occupancy
K1 0.000 0.172 0.000 1
Np1 0.000 0.333 0.500 1
Ta1 0.000 0.000 0.500 1
Se1 0.226 0.155 0.700 1
Se2 0.241 0.000 0.301 1
```

## Properties
VASP energy (eV/cell): -145.62
Total magnetic moment (μB/cell): 18.026


A plane-wave DFT calculation with PBE was carried out for Cs3SiS4 after structural relaxation.

The structure in CIF format:
```
data_Cs3SiS4
_chemical_formula_sum 'Cs6 Si2 S8'
_cell_length_a 5.844
_cell_length_b 13.669
_cell_length_c 7.236
_cell_angle_alpha 90.00
_cell_angle_beta 90.00
_cell_angle_gamma 90.00
_space_group_name_H-M_alt 'I m m 2'
_space_group_IT_number 44
_space_group_name_Hall 'I 2 -2'
loop_
_atom_site_label
_atom_site_fract_x
_atom_site_fract_y
_atom_site_fract_z
_atom_site_occupancy
Cs1 0.000 0.000 0.000 1
Cs2 0.000 0.284 0.784 1
Si1 0.000 0.500 0.164 1
S1 0.000 0.370 0.325 1
S2 0.237 0.000 0.456 1
```

## Properties
VASP energy (eV/cell): -65.34
Total magnetic moment (μB/cell): 0.000


A plane-wave DFT calculation with PBE was carried out for Sr3AgRh after structural relaxation.

The structure in CIF format:
```
data_Sr3AgRh
_chemical_formula_sum 'Sr3 Ag1 Rh1'
_cell_length_a 5.739
_cell_length_b 5.739
_cell_length_c 5.739
_cell_angle_alpha 90.00
_cell_angle_beta 90.00
_cell_angle_gamma 90.00
_space_group_name_H-M_alt 'P m -3 m'
_space_group_IT_number 221
_space_group_name_Hall '-P 4 2 3'
loop_
_atom_site_label
_atom_site_fract_x
_atom_site_fract_y
_atom_site_fract_z
_atom_site_occupancy
Sr1 0.000 0.000 0.500 1
Ag1 0.500 0.500 0.500 1
Rh1 0.000 0.000 0.000 1
```

## Properties
Calculated formation energy (eV/atom): -0.098
VASP energy (eV/cell): -15.74
Total magnetic moment (μB/cell): 0.000


What did the first record say?
A plane-wave DFT calculation with PBE was carried out for K2Np2TaSe6 after structural relaxation.

The structure in CIF format:
```
data_K2Np2TaSe6
_chemical_formula_sum 'K4 Np4 Ta2 Se12'
_cell_length_a 6.979
_cell_length_b 11.961
_cell_length_c 8.290
_cell_angle_alpha 90.00
_cell_angle_beta 106.86
_cell_angle_gamma 90.00
_space_group_name_H-M_alt 'C 1 2/m 1'
_space_group_IT_number 12
_space_group_name_Hall '-C 2y'
loop_
_atom_site_label
_atom_site_fract_x
_atom_site_fract_y
_atom_site_fract_z
_atom_site_occupancy
K1 0.000 0.172 0.000 1
Np1 0.000 0.333 0.500 1
Ta1 0.000 0.000 0.500 1
Se1 0.226 0.155 0.700 1
Se2 0.241 0.000 0.301 1
```

## Properties
VASP energy (eV/cell): -145.62
Total magnetic moment (μB/cell): 18.026


- Which value of total magnetic moment does entry 1 give?
  18.026 μB/cell


- Which of these has the highest VASP energy?
  Sr3AgRh